(1)
A crystal of RbH2RhSe relaxed with PBEsol, computed with SCAN.

Cell lengths 4.190, 4.190, 4.643 Å; angles 90.00, 90.00, 90.00 degrees
Space group P4/mmm (No. 123)
Unique sites:
Rb 0.000 0.000 0.000 x1
H 0.000 0.500 0.500 x2
Rh 0.500 0.500 0.000 x1
Se 0.500 0.500 0.500 x1

volume	81.5	Å³/f.u.
final energy	-0.582	Ha/atom

---

(2)
A crystal of Rb3HS relaxed with PBEsol, computed with SCAN.

Cell lengths 5.248, 5.248, 5.248 Å; angles 90.00, 90.00, 90.00 degrees
Space group Pm-3m (No. 221)
Unique sites:
Rb 0.000 0.000 0.500 x3
H 0.000 0.000 0.000 x1
S 0.500 0.500 0.500 x1

volume	144.5	Å³/f.u.
final energy	-0.581	Ha/atom

---

(3)
A crystal of RbSbH relaxed with PBEsol, computed with SCAN.

Cell lengths 5.721, 4.576, 6.920 Å; angles 90.00, 112.56, 90.00 degrees
Space group Pm (No. 6)
Unique sites:
Rb 0.000 0.000 0.000 x1
Rb 0.248 0.500 0.530 x1
Sb 0.554 0.500 0.122 x1
Sb 0.688 0.000 0.398 x1
H 0.763 0.500 0.814 x1
H 0.799 0.500 0.714 x1

volume	83.6	Å³/f.u.
final energy	-0.764	Ha/atom

---

(4)
A crystal of Rb3SbH relaxed with PBEsol, computed with SCAN.

Cell lengths 5.609, 5.609, 5.609 Å; angles 90.00, 90.00, 90.00 degrees
Space group Pm-3m (No. 221)
Unique sites:
Rb 0.000 0.000 0.500 x3
Sb 0.500 0.500 0.500 x1
H 0.000 0.000 0.000 x1

volume	176.5	Å³/f.u.
final energy	-0.768	Ha/atom

---

(5)
A crystal of RbSrH2Se relaxed with PBEsol, computed with SCAN.

Cell lengths 4.789, 4.789, 5.981 Å; angles 90.00, 90.00, 90.00 degrees
Space group P4/mmm (No. 123)
Unique sites:
Rb 0.000 0.000 0.000 x1
Sr 0.500 0.500 0.500 x1
H 0.000 0.500 0.500 x2
Se 0.500 0.500 0.000 x1

volume	137.2	Å³/f.u.
final energy	-0.533	Ha/atom

---

(6)
A crystal of RbSrTiH2 relaxed with PBEsol, computed with SCAN.

Cell lengths 4.709, 4.709, 7.831 Å; angles 90.00, 90.00, 90.00 degrees
Space group P4/mmm (No. 123)
Unique sites:
Rb 0.000 0.000 0.000 x1
Sr 0.000 0.000 0.500 x1
Ti 0.500 0.500 0.000 x1
H 0.000 0.500 0.500 x2

volume	173.6	Å³/f.u.
final energy	-0.456	Ha/atom